V2SOF after structural relaxation. Source: Alexandria via LeMat-Bulk, functional GGA+U.

## Properties
**DFT total energy**: -5.137 eV/atom
**D(E_F)**: 11.972 states/eV/f.u.
**M_tot**: 6.974 μB/f.u.

Cell lengths 4.747, 3.667, 4.747 Å; angles 90.00, 90.00, 90.00 degrees
Fractional coordinates of all 5 atoms:
1 V 0.500 0.000 0.000
2 V 0.000 0.000 0.500
3 F 0.500 0.500 0.500
4 O 0.000 0.500 0.000
5 S 0.000 0.000 0.000